Material: LaHoTc
Method: DFT, GGA-PBE
State: relaxed

abc: 4.766 4.766 4.766
angles: 60.00 60.00 60.00
Element x y z (fractional)
La  0.000  0.000  0.000
Ho  0.750  0.750  0.750
Tc  0.250  0.250  0.250

Results
- calculated volume (A^3/atom) = 25.52
- E (eV/atom) = -5.6522